1.
## K4H3F (PBE)

Data for a geometry-optimized K4H3F structure.

Summary:
Total energy, eV per atom: -2.881

CIF file:
```
data_K4H3F
_chemical_formula_sum 'K8 H6 F2'
_space_group_name_H-M_alt 'I 4/m m m'
_space_group_IT_number 139
_space_group_name_Hall '-I 4 2'
_cell_length_a 5.597
_cell_length_b 5.597
_cell_length_c 11.240
_cell_angle_alpha 90.00
_cell_angle_beta 90.00
_cell_angle_gamma 90.00
loop_
_atom_site_label
_atom_site_fract_x
_atom_site_fract_y
_atom_site_fract_z
K1 0.000 0.000 0.241
K2 0.000 0.500 0.000
H1 0.000 0.000 0.500
H2 0.000 0.500 0.250
F1 0.000 0.000 0.000
```



2.
## K6H5F (PBE)

Data for a geometry-optimized K6H5F structure.

Summary:
Total energy, eV per atom: -2.734

CIF file:
```
data_K6H5F
_chemical_formula_sum 'K12 H10 F2'
_space_group_name_H-M_alt 'C 1 2/m 1'
_space_group_IT_number 12
_cell_length_a 6.902
_cell_length_b 11.952
_cell_length_c 6.896
_cell_angle_alpha 90.00
_cell_angle_beta 109.54
_cell_angle_gamma 90.00
loop_
_space_group_symop_operation_xyz
'x,y,z'
'-x,-y,-z'
'-x,y,-z'
'x,-y,z'
'x+1/2,y+1/2,z'
'-x+1/2,-y+1/2,-z'
'-x+1/2,y+1/2,-z'
'x+1/2,-y+1/2,z'
loop_
_atom_site_label
_atom_site_fract_x
_atom_site_fract_y
_atom_site_fract_z
K1 0.244 0.000 0.257
K2 0.245 0.163 0.748
H1 0.000 0.166 0.000
H2 0.000 0.333 0.500
H3 0.000 0.500 0.000
F1 0.000 0.000 0.500
```



3.
## KHF (PBE)

Data for a geometry-optimized KHF structure.

Summary:
Distance to the lowest polymorph of the same formula, eV/atom: 0.179
Total energy, eV per atom: -3.722

CIF file:
```
data_KHF
_chemical_formula_sum 'K4 H4 F4'
_space_group_name_H-M_alt 'C 1 2/m 1'
_space_group_IT_number 12
_cell_length_a 6.995
_cell_length_b 6.995
_cell_length_c 5.075
_cell_angle_alpha 90.00
_cell_angle_beta 133.29
_cell_angle_gamma 90.00
loop_
_space_group_symop_operation_xyz
'x,y,z'
'-x,-y,-z'
'-x,y,-z'
'x,-y,z'
'x+1/2,y+1/2,z'
'-x+1/2,-y+1/2,-z'
'-x+1/2,y+1/2,-z'
'x+1/2,-y+1/2,z'
loop_
_atom_site_label
_atom_site_fract_x
_atom_site_fract_y
_atom_site_fract_z
K1 0.250 0.250 0.000
H1 0.052 0.000 0.105
F1 0.195 0.500 0.390
```